[1]
WAu: relaxed, GGA-PBE.

Lattice parameters (Å, degrees): 4.9201 4.9201 4.9201 130.73 130.73 72.24
Fractional positions:
W (0.2500, 0.7500, 0.5000)
W (0.5000, 0.5000, 0.0000)
Au (0.0000, 0.0000, 0.0000)
Au (0.7500, 0.2500, 0.5000)

Output
D(E_F) (states/eV/atom): 0.42
Final energy (eV/atom): -7.664
Spin magnetization (μB/f.u.): 0.00
Distance to the lowest polymorph of the same formula (meV/atom): 201

[2]
SmNbTc4: relaxed, GGA-PBE.

Lattice parameters (Å, degrees): 5.3136 5.3136 5.3136 60.00 60.00 60.00
Fractional positions:
Nb (0.0000, 0.0000, 0.0000)
Tc (0.1232, 0.6256, 0.6256)
Tc (0.6256, 0.6256, 0.1232)
Sm (0.2500, 0.2500, 0.2500)
Tc (0.6256, 0.6256, 0.6256)
Tc (0.6256, 0.1232, 0.6256)

Output
D(E_F) (states/eV/atom): 1.63
Final energy (eV/atom): -9.334
Spin magnetization (μB/f.u.): 0.00

[3]
Pa2TiV: relaxed, GGA-PBE.

Lattice parameters (Å, degrees): 4.7591 4.1318 4.1318 90.00 90.00 90.00
Fractional positions:
V (0.5000, 0.5000, 0.5000)
Pa (0.0000, 0.5000, 0.0000)
Ti (0.5000, 0.0000, 0.0000)
Pa (0.0000, 0.0000, 0.5000)

Output
D(E_F) (states/eV/atom): 1.84
Final energy (eV/atom): -8.717
Spin magnetization (μB/f.u.): 0.00
Distance to the lowest polymorph of the same formula (meV/atom): 0

[4]
Pr2TmCd4: relaxed, GGA-PBE.

Lattice parameters (Å, degrees): 5.3524 5.3524 8.1280 109.22 109.22 90.00
Fractional positions:
Cd (0.1076, 0.6076, 0.2153)
Pr (0.2586, 0.2586, 0.5172)
Pr (0.7414, 0.7414, 0.4828)
Cd (0.8924, 0.3924, 0.7847)
Cd (0.3924, 0.8924, 0.7847)
Cd (0.6076, 0.1076, 0.2153)
Tm (0.0000, 0.0000, 0.0000)

Output
D(E_F) (states/eV/atom): 0.78
Final energy (eV/atom): -2.692
Spin magnetization (μB/f.u.): 0.34
Distance to the lowest polymorph of the same formula (meV/atom): 0